{"formula": "AgTe2NF", "functional": "GGA-PBEsol", "state": "optimized geometry", "cell": [[-4.2617, 0.7785, -1.5057], [0.5774, -3.2918, -3.3363], [-1.6470, -3.2896, 2.9608]], "species": ["Te", "Te", "Ag", "N", "F"], "frac_coords": [[0.0000, 0.0000, 0.5000], [0.0000, 0.5000, 0.0000], [0.5000, 0.5000, 0.5000], [0.5000, 0.0000, 0.0000], [0.0000, 0.0000, 0.0000]], "raw_formation_energy_ev_per_atom": 0.972, "magnetic_moment_mub_per_fu": 2.911}


{"formula": "GaSiMo2", "functional": "GGA-PBEsol", "state": "optimized geometry", "cell": [[-2.8602, 2.2666, 2.2988], [-3.7633, -1.7835, 1.1224], [-0.7555, -1.0283, 4.1201]], "species": ["Ga", "Mo", "Mo", "Si"], "frac_coords": [[0.5000, 0.5000, 0.5000], [0.2500, 0.2500, 0.2500], [0.7500, 0.7500, 0.7500], [0.0000, 0.0000, 0.0000]], "raw_formation_energy_ev_per_atom": -0.011, "magnetic_moment_mub_per_fu": 0.001}


{"formula": "K3Tl", "functional": "GGA-PBEsol", "state": "optimized geometry", "cell": [[4.5352, 0.0000, 0.0000], [0.0000, 9.5262, 0.0860], [0.0000, 0.0903, 9.5261]], "species": ["Tl", "Tl", "K", "K", "K", "K", "K", "K"], "frac_coords": [[0.2500, 0.5834, 0.4166], [0.7500, 0.4166, 0.5834], [0.2500, 0.1716, 0.4173], [0.7500, 0.8369, 0.1631], [0.2500, 0.1631, 0.8369], [0.2500, 0.5827, 0.8284], [0.7500, 0.8284, 0.5827], [0.7500, 0.4173, 0.1716]], "dft_energy_ev_per_atom": -1.519, "magnetic_moment_mub_per_fu": 0.000}


{"formula": "CrPbCl2", "functional": "GGA-PBEsol", "state": "optimized geometry", "cell": [[3.4380, 0.0000, 0.0000], [1.7190, 2.9774, 0.0000], [1.7190, 0.9925, 9.3180]], "species": ["Cl", "Cl", "Pb", "Cr"], "frac_coords": [[0.2190, 0.2190, 0.3431], [0.7810, 0.7810, 0.6569], [0.0000, 0.0000, 0.0000], [0.5000, 0.5000, 0.5000]], "raw_formation_energy_ev_per_atom": -0.441, "magnetic_moment_mub_per_fu": 4.077}


{"formula": "ZrScHg", "functional": "GGA-PBEsol", "state": "optimized geometry", "cell": [[-0.9108, 2.7455, -1.4327], [-2.2215, -2.1496, 0.9294], [-0.4290, 3.2732, 6.5450]], "species": ["Hg", "Zr", "Sc"], "frac_coords": [[0.0000, 0.0000, 0.9970], [0.3333, 0.6667, 0.3332], [0.6667, 0.3333, 0.6698]], "dft_energy_ev_per_atom": -5.587, "magnetic_moment_mub_per_fu": 0.014}


{"formula": "LiScMn2", "functional": "GGA-PBEsol", "state": "optimized geometry", "cell": [[-0.6563, -0.0913, 2.9496], [0.5143, -4.1608, -0.0143], [4.2423, 0.5211, 0.9600]], "species": ["Sc", "Li", "Mn", "Mn"], "frac_coords": [[0.5000, 0.0000, 0.5000], [0.0000, 0.5000, 0.5000], [0.5000, 0.5000, 0.0000], [0.0000, 0.0000, 0.0000]], "dft_energy_ev_per_atom": -6.668, "magnetic_moment_mub_per_fu": 0.987}